Here is a crystal of GaAgO2 relaxed with PBEsol from Alexandria. Energies are from SCAN.

* VASP energy: -65.82 eV per cell
* mass density: 7.30 g/cm3
* symmetry: R-3m, No. 166
* magnetic moment: 0.00 μB per cell

a = 2.9873 Å, b = 2.9873 Å, c = 6.4084 Å
α = 76.52°, β = 76.52°, γ = 60.00°
Last column: nearest neighbours and their distance in Å.
Element x y z (fractional)
Ga 0.5000 0.5000 0.5000  6 O 2.00
Ag 0.0000 0.0000 0.0000  2 O 2.08
O 0.1123 0.1123 0.6632  3 Ga 2.00, 1 Ag 2.08
O 0.8877 0.8877 0.3368  3 Ga 2.00, 1 Ag 2.08

=====

Here is a crystal of GaAgO2 relaxed with PBEsol from Alexandria. Energies are from SCAN.

* VASP energy: -261.72 eV per cell
* mass density: 6.49 g/cm3
* symmetry: Pna2_1, No. 33
* magnetic moment: 0.00 μB per cell

a = 5.5423 Å, b = 5.4623 Å, c = 7.0907 Å
α = 90.00°, β = 90.00°, γ = 90.00°
Last column: nearest neighbours and their distance in Å.
Element x y z (fractional)
O 0.9240 0.3979 0.1580  2 Ga 1.85
O 0.9240 0.8979 0.3420  2 Ga 1.85
O 0.4240 0.6021 0.8420  2 Ga 1.85
O 0.8256 0.9561 0.9202  2 Ga 1.84-1.85
O 0.3256 0.0439 0.0798  2 Ga 1.84-1.85
O 0.8256 0.4561 0.5798  2 Ga 1.84-1.85
O 0.3256 0.5439 0.4202  2 Ga 1.84-1.85
O 0.4240 0.1021 0.6580  2 Ga 1.85
Ag 0.5044 0.4481 0.1418  4 O 2.27-2.46
Ag 0.5044 0.9481 0.3582  4 O 2.27-2.46
Ag 0.0044 0.5519 0.8582  4 O 2.27-2.46
Ag 0.0044 0.0519 0.6418  4 O 2.27-2.46
Ga 0.4979 0.9301 0.8756  4 O 1.84-1.85
Ga 0.9979 0.5699 0.3756  4 O 1.84-1.85
Ga 0.9979 0.0699 0.1244  4 O 1.84-1.85
Ga 0.4979 0.4301 0.6244  4 O 1.84-1.85

=====

Here is a crystal of GaAgO2 relaxed with PBEsol from Alexandria. Energies are from SCAN.

* VASP energy: -131.64 eV per cell
* mass density: 7.30 g/cm3
* symmetry: P6_3/mmc, No. 194
* magnetic moment: 0.00 μB per cell

a = 2.9874 Å, b = 2.9874 Å, c = 12.3443 Å
α = 90.00°, β = 90.00°, γ = 120.00°
Last column: nearest neighbours and their distance in Å.
Element x y z (fractional)
Ga 0.0000 0.0000 0.5000  6 O 2.00
Ga 0.0000 0.0000 0.0000  6 O 2.00
O 0.3333 0.6667 0.4184  3 Ga 2.00, 1 Ag 2.08
O 0.6667 0.3333 0.5816  3 Ga 2.00, 1 Ag 2.08
O 0.6667 0.3333 0.9184  3 Ga 2.00, 1 Ag 2.08
O 0.3333 0.6667 0.0816  3 Ga 2.00, 1 Ag 2.08
Ag 0.6667 0.3333 0.7500  2 O 2.08
Ag 0.3333 0.6667 0.2500  2 O 2.08

=====

Here is a crystal of GaAgO2 relaxed with PBEsol from Alexandria. Energies are from SCAN.

* VASP energy: -65.48 eV per cell
* mass density: 7.54 g/cm3
* symmetry: R3m, No. 160
* magnetic moment: 0.00 μB per cell

a = 2.9591 Å, b = 2.9591 Å, c = 6.3246 Å
α = 76.47°, β = 76.47°, γ = 60.00°
Last column: nearest neighbours and their distance in Å.
Element x y z (fractional)
Ag 0.1599 0.1599 0.5203  1 O 2.14
Ga 0.9979 0.9979 0.0063  6 O 1.97-2.02
O 0.7241 0.7241 0.8278  3 Ga 2.02
O 0.2771 0.2771 0.1686  3 Ga 1.97, 1 Ag 2.14

=====

Number 3 is which compound?
GaAgO2